1.
First-principles (PBEsol) data for Li2MnH4S2O10 after structural relaxation, as listed in the Alexandria database.

Cell: 5.324 13.070 5.471 Å, 90.00 98.04 90.00°
Fractional coordinates of all 38 atoms:
Li1 0.160 0.116 0.315
Li2 0.160 0.384 0.815
Li3 0.840 0.616 0.185
Li4 0.840 0.884 0.685
Mn1 0.500 0.000 0.000
Mn2 0.500 0.500 0.500
H1 0.152 0.151 0.842
H2 0.152 0.349 0.342
H3 0.391 0.204 0.003
H4 0.391 0.296 0.503
H5 0.609 0.704 0.497
H6 0.609 0.796 0.997
H7 0.848 0.651 0.658
H8 0.848 0.849 0.158
S1 0.266 0.614 0.981
S2 0.266 0.886 0.481
S3 0.734 0.114 0.519
S4 0.734 0.386 0.019
O1 0.038 0.678 0.903
O2 0.038 0.822 0.403
O3 0.227 0.569 0.224
O4 0.227 0.931 0.724
O5 0.281 0.530 0.798
O6 0.281 0.970 0.298
O7 0.284 0.140 0.992
O8 0.284 0.360 0.492
O9 0.498 0.175 0.494
O10 0.498 0.325 0.994
O11 0.502 0.675 0.006
O12 0.502 0.825 0.506
O13 0.716 0.640 0.508
O14 0.716 0.860 0.008
O15 0.719 0.030 0.702
O16 0.719 0.470 0.202
O17 0.773 0.069 0.276
O18 0.773 0.431 0.776
O19 0.962 0.178 0.597
O20 0.962 0.322 0.097

## Properties
The calculation puts the calculated total energy at -6.1409 eV per atom.


2.
First-principles (PBEsol) data for LiMo3H after structural relaxation, as listed in the Alexandria database.

Cell: 3.929 3.929 3.929 Å, 90.00 90.00 90.00°
Fractional coordinates of all 5 atoms:
Li1 0.000 0.000 0.000
Mo1 0.000 0.500 0.500
Mo2 0.500 0.000 0.500
Mo3 0.500 0.500 0.000
H1 0.500 0.500 0.500

## Properties
The calculation puts the calculated total energy at -7.7548 eV per atom.


3.
First-principles (PBEsol) data for Li2HN after structural relaxation, as listed in the Alexandria database.

Cell: 7.618 3.574 4.752 Å, 90.00 90.00 90.00°
Fractional coordinates of all 16 atoms:
Li1 0.102 0.250 0.032
Li2 0.197 0.250 0.573
Li3 0.303 0.750 0.073
Li4 0.398 0.750 0.532
Li5 0.602 0.250 0.468
Li6 0.697 0.250 0.927
Li7 0.803 0.750 0.427
Li8 0.898 0.750 0.968
H1 0.078 0.750 0.579
H2 0.422 0.250 0.079
H3 0.578 0.750 0.921
H4 0.922 0.250 0.421
N1 0.143 0.750 0.771
N2 0.357 0.250 0.271
N3 0.643 0.750 0.729
N4 0.857 0.250 0.229

## Properties
Its excess energy over the best structure of this formula in the dataset is 0.00 kcal/mol of atoms. The calculation puts the calculated total energy at -4.4980 eV per atom.


4.
First-principles (PBEsol) data for Li2HN after structural relaxation, as listed in the Alexandria database.

Cell: 4.820 4.820 5.247 Å, 90.00 90.00 90.00°
Fractional coordinates of all 16 atoms:
Li1 0.000 0.000 0.250
Li2 0.000 0.000 0.750
Li3 0.000 0.500 0.213
Li4 0.000 0.500 0.787
Li5 0.500 0.000 0.287
Li6 0.500 0.000 0.713
Li7 0.500 0.500 0.250
Li8 0.500 0.500 0.750
H1 0.033 0.724 0.500
H2 0.276 0.033 0.000
H3 0.724 0.967 0.000
H4 0.967 0.276 0.500
N1 0.247 0.752 0.500
N2 0.248 0.247 0.000
N3 0.752 0.753 0.000
N4 0.753 0.248 0.500

## Properties
Its excess energy over the best structure of this formula in the dataset is 0.62 kcal/mol of atoms. The calculation puts the calculated total energy at -4.4712 eV per atom.


Q: Which of these has the highest calculated total energy?
A: number 4